A relaxed BPN2F crystal. Source: Alexandria via LeMat-Bulk, functional PBE.

Results
Formation energy from raw total energies: 0.93 eV/atom
Polymorph energy (0 for the lowest one): 147 meV per atom
E: -5.196 eV per atom
SG: No. 123
Total moment: 0.00 μB per cell

Lattice parameters (Å, degrees): 3.1481 3.1481 4.8402 90.00 90.00 90.00
Fractional positions:
B 0.0000 0.0000 0.0000
P 0.0000 0.0000 0.5000
N 0.0000 0.5000 0.0000
N 0.5000 0.0000 0.0000
F 0.5000 0.5000 0.5000